Entry 1:
VASP calculation (meta-GGA SCAN) on Ta2VRu at its PBEsol-relaxed geometry.

Properties
Calculated volume   15.21 Å³/atom
ΔH_f (0 K)   -0.35 eV per atom

a b c (Å): 6.244 6.244 6.244
angles (deg): 90.00 90.00 90.00
Space group Fm-3m (No. 225)
Inequivalent atoms, fractional coordinates:
Ta  0.250  0.250  0.250
V  0.000  0.000  0.000
Ru  0.000  0.000  0.500

---

Entry 2:
VASP calculation (meta-GGA SCAN) on Ta2RuW at its PBEsol-relaxed geometry.

Properties
Calculated volume   15.94 Å³/atom
ΔH_f (0 K)   -0.36 eV per atom

a b c (Å): 6.341 6.341 6.341
angles (deg): 90.00 90.00 90.00
Space group Fm-3m (No. 225)
Inequivalent atoms, fractional coordinates:
Ta  0.250  0.250  0.250
Ru  0.000  0.000  0.000
W  0.000  0.000  0.500

---

Entry 3:
VASP calculation (meta-GGA SCAN) on Ta2RuW at its PBEsol-relaxed geometry.

Properties
Calculated volume   16.04 Å³/atom
ΔH_f (0 K)   -0.01 eV per atom

a b c (Å): 3.211 4.550 8.786
angles (deg): 90.00 90.00 90.00
Space group Cmm2 (No. 35)
Inequivalent atoms, fractional coordinates:
Ta  0.000  0.000  0.000
Ta  0.000  0.500  0.267
Ru  0.000  0.500  0.760
W  0.000  0.000  0.524

---

Entry 4:
VASP calculation (meta-GGA SCAN) on Ta2RuW at its PBEsol-relaxed geometry.

Properties
Calculated volume   16.30 Å³/atom
ΔH_f (0 K)   0.01 eV per atom

a b c (Å): 3.788 3.788 9.091
angles (deg): 90.00 90.00 90.00
Space group I-4m2 (No. 119)
Inequivalent atoms, fractional coordinates:
Ta  0.000  0.000  0.000
Ta  0.000  0.500  0.250
Ru  0.000  0.500  0.750
W  0.000  0.000  0.500

---

E values (in eV per atom) by entry order: -46.719, -59.782, -59.435, -59.409.